(1)
The following is a DFT calculation (PBE-GGA) of Tm4Se3S2 after structural relaxation.

extended XYZ file:
```
9
Lattice="3.7612 0.0000 0.0000 -1.8806 6.6951 0.5245 0.0000 -1.9628 8.2733" Properties=species:S:1:pos:R:3 pbc="T T T"
Tm 0.0000 -0.3735 5.6888
Tm 1.8806 1.8784 1.0732
Tm 0.0000 2.8540 7.7246
Tm 1.8806 5.1059 3.1090
Se 0.0000 4.2534 5.3318
Se 0.0000 0.0000 0.0000
Se 1.8806 0.4789 3.4660
S 1.8806 1.1489 6.9082
S 0.0000 3.5834 1.8896
```

magnetic moment: 0.00 Bohr magnetons per cell
E above lowest polymorph: 0 meV per atom
space group: No. 12

(2)
The following is a DFT calculation (PBE-GGA) of HfBi2MoOs after structural relaxation.

extended XYZ file:
```
5
Lattice="5.2326 0.0000 0.0000 0.0000 5.0012 0.0000 0.0000 0.0000 5.2326" Properties=species:S:1:pos:R:3 pbc="T T T"
Bi 0.0000 0.0000 2.6163
Bi 2.6163 0.0000 0.0000
Hf 0.0000 2.5006 0.0000
Os 0.0000 0.0000 0.0000
Mo 2.6163 2.5006 2.6163
```

magnetic moment: 2.87 Bohr magnetons per cell
formation energy from the elements: 1341 meV per atom
space group: No. 123